1.
Computed, not measured: a relaxed Ca2WBr crystal at the PBE level of DFT.

Properties
Crystal system: monoclinic
Energy relative to the elements, uncorrected (eV per atom): 0.34

Structure (CIF):
```
data_Ca2WBr
_space_group_name_H-M_alt 'C 1 m 1'
_space_group_IT_number 8
_space_group_name_Hall 'C -2y'
_cell_length_a 11.6597
_cell_length_b 3.2127
_cell_length_c 5.4867
_cell_angle_alpha 90.00
_cell_angle_beta 105.83
_cell_angle_gamma 90.00
loop_
_atom_site_label
_atom_site_fract_x
_atom_site_fract_y
_atom_site_fract_z
Ca1 0.0000 0.0000 0.0000
Ca2 0.1989 0.0000 0.6245
W1 0.4521 0.0000 0.4878
Br1 0.2732 0.5000 0.1819
```

2.
Computed, not measured: a relaxed KTlHg2I6 crystal at the PBE level of DFT.

Properties
Crystal system: monoclinic
Energy relative to the elements, uncorrected (eV per atom): -0.60

Structure (CIF):
```
data_KTlHg2I6
_space_group_name_H-M_alt 'C 1 2/c 1'
_space_group_IT_number 15
_space_group_name_Hall '-C 2yc'
_cell_length_a 16.2354
_cell_length_b 14.4102
_cell_length_c 8.6256
_cell_angle_alpha 90.00
_cell_angle_beta 106.05
_cell_angle_gamma 90.00
loop_
_atom_site_label
_atom_site_fract_x
_atom_site_fract_y
_atom_site_fract_z
K1 0.0000 0.1677 0.2500
Tl1 0.0000 0.3967 0.7500
Hg1 0.2126 0.0994 0.7528
I1 0.1091 0.4038 0.1612
I2 0.1287 0.0384 0.9923
I3 0.1392 0.2646 0.6084
```

3.
Computed, not measured: a relaxed Li2Ni12As7 crystal at the PBE level of DFT.

Properties
E_form (meV per atom): -366
Crystal system: hexagonal

Structure (CIF):
```
data_Li2Ni12As7
_space_group_name_H-M_alt 'P -6'
_space_group_IT_number 174
_space_group_name_Hall 'P -6'
_cell_length_a 9.3740
_cell_length_b 9.3740
_cell_length_c 3.6969
_cell_angle_alpha 90.00
_cell_angle_beta 90.00
_cell_angle_gamma 120.00
loop_
_atom_site_label
_atom_site_fract_x
_atom_site_fract_y
_atom_site_fract_z
Li1 0.0000 0.0000 0.0000
Li2 0.3333 0.6667 0.5000
Ni1 0.0489 0.7681 0.5000
Ni2 0.0930 0.3789 0.0000
Ni3 0.4524 0.2422 0.0000
Ni4 0.5066 0.0530 0.5000
As1 0.0835 0.6284 0.0000
As2 0.2504 0.0460 0.5000
As3 0.6667 0.3333 0.5000
```

4.
Computed, not measured: a relaxed Mn2NiHgSb crystal at the PBE level of DFT.

Properties
Crystal system: tetragonal
Energy relative to the elements, uncorrected (eV per atom): 0.79

Structure (CIF):
```
data_Mn2NiHgSb
_space_group_name_H-M_alt 'P 4/m m m'
_space_group_IT_number 123
_space_group_name_Hall '-P 4 2'
_cell_length_a 5.1296
_cell_length_b 5.1296
_cell_length_c 4.7035
_cell_angle_alpha 90.00
_cell_angle_beta 90.00
_cell_angle_gamma 90.00
loop_
_atom_site_label
_atom_site_fract_x
_atom_site_fract_y
_atom_site_fract_z
Mn1 0.0000 0.5000 0.0000
Ni1 0.0000 0.0000 0.5000
Hg1 0.5000 0.5000 0.5000
Sb1 0.0000 0.0000 0.0000
```

5.
Computed, not measured: a relaxed RbMgIn2Sn4 crystal at the PBE level of DFT.

Properties
E_form (meV per atom): -38
Crystal system: trigonal

Structure (CIF):
```
data_RbMgIn2Sn4
_space_group_name_H-M_alt 'R -3 m'
_space_group_IT_number 166
_space_group_name_Hall '-R 3 2"'
_cell_length_a 5.3431
_cell_length_b 5.3431
_cell_length_c 30.7417
_cell_angle_alpha 90.00
_cell_angle_beta 90.00
_cell_angle_gamma 120.00
loop_
_atom_site_label
_atom_site_fract_x
_atom_site_fract_y
_atom_site_fract_z
Rb1 0.0000 0.0000 0.0000
Mg1 0.0000 0.0000 0.5000
In1 0.0000 0.0000 0.2385
Sn1 0.0000 0.0000 0.1310
Sn2 0.0000 0.0000 0.4086
```

6.
Computed, not measured: a relaxed SrP2RuS crystal at the PBE level of DFT.

Properties
Crystal system: tetragonal
Energy relative to the elements, uncorrected (eV per atom): -0.39

Structure (CIF):
```
data_SrP2RuS
_space_group_name_H-M_alt 'P 4/m m m'
_space_group_IT_number 123
_space_group_name_Hall '-P 4 2'
_cell_length_a 4.4846
_cell_length_b 4.4846
_cell_length_c 5.4699
_cell_angle_alpha 90.00
_cell_angle_beta 90.00
_cell_angle_gamma 90.00
loop_
_atom_site_label
_atom_site_fract_x
_atom_site_fract_y
_atom_site_fract_z
Sr1 0.0000 0.0000 0.0000
P1 0.0000 0.5000 0.5000
Ru1 0.5000 0.5000 0.5000
S1 0.5000 0.5000 0.0000
```